No. 1
Sn2GeP: relaxed, GGA-PBE.

Cell lengths 4.2938, 4.2938, 8.1499 Å; angles 74.73, 74.73, 60.00 degrees
Closest atoms and distances in Å follow each position.
Positions (direct):
Ge  0.5000  0.5000  0.5000  6 Sn 2.87
Sn  0.8953  0.8953  0.3142  1 P 2.44
P  0.0000  0.0000  0.0000  2 Sn 2.44
Sn  0.1047  0.1047  0.6858  1 P 2.44

**ΔE to the lowest computed polymorph**: 150 kJ/mol of formula units
**Symmetry**: R-3m


No. 2
UNbTc: relaxed, GGA-PBE.

Cell lengths 3.6962, 3.6962, 4.8573 Å; angles 112.36, 112.36, 90.00 degrees
Closest atoms and distances in Å follow each position.
Positions (direct):
Tc  0.6014  0.6014  0.2029  1 U 2.62, 4 Nb 2.83
U  0.2810  0.2810  0.5620  1 Nb 2.57, 1 Tc 2.62
Nb  0.9676  0.9676  0.9351  1 U 2.57, 4 Tc 2.83

**ΔE to the lowest computed polymorph**: 0 kJ/mol of formula units
**Symmetry**: I4mm


No. 3
Pr2Sm3Dy6Tm: relaxed, GGA-PBE.

Cell lengths 6.2137, 6.2137, 11.8660 Å; angles 94.99, 94.99, 119.98 degrees
Closest atoms and distances in Å follow each position.
Positions (direct):
Dy  0.7517  0.7517  0.2508  3 Sm 3.57-3.58, 6 Dy 3.58-3.60, 1 Tm 3.58, 2 Pr 3.59
Dy  0.4159  0.0837  0.2504  6 Dy 3.58-3.60, 3 Sm 3.58, 1 Tm 3.58, 2 Pr 3.59
Sm  0.1667  0.8333  0.5000  6 Dy 3.57-3.58, 6 Sm 3.59
Dy  0.2483  0.2483  0.7492  3 Sm 3.57-3.58, 6 Dy 3.58-3.60, 1 Tm 3.58, 2 Pr 3.59
Dy  0.0837  0.4159  0.2504  6 Dy 3.58-3.60, 3 Sm 3.58, 1 Tm 3.58, 2 Pr 3.59
Sm  0.8333  0.1667  0.5000  6 Dy 3.57-3.58, 6 Sm 3.59
Sm  0.5000  0.5000  0.5000  6 Dy 3.58, 6 Sm 3.59
Pr  0.3336  0.6664  0.0000  3 Pr 3.58-3.59, 6 Dy 3.59, 3 Tm 3.59
Pr  0.6664  0.3336  0.0000  3 Pr 3.58-3.59, 6 Dy 3.59, 3 Tm 3.59
Tm  0.0000  0.0000  0.0000  6 Dy 3.58, 6 Pr 3.59
Dy  0.9163  0.5841  0.7496  6 Dy 3.58-3.60, 3 Sm 3.58, 1 Tm 3.58, 2 Pr 3.59
Dy  0.5841  0.9163  0.7496  6 Dy 3.58-3.60, 3 Sm 3.58, 1 Tm 3.58, 2 Pr 3.59

**Final energy**: -4.64 eV per atom
**Symmetry**: C2/m


What did the second record say?
UNbTc: relaxed, GGA-PBE.

Cell lengths 3.6962, 3.6962, 4.8573 Å; angles 112.36, 112.36, 90.00 degrees
Closest atoms and distances in Å follow each position.
Positions (direct):
Tc  0.6014  0.6014  0.2029  1 U 2.62, 4 Nb 2.83
U  0.2810  0.2810  0.5620  1 Nb 2.57, 1 Tc 2.62
Nb  0.9676  0.9676  0.9351  1 U 2.57, 4 Tc 2.83

**ΔE to the lowest computed polymorph**: 0 kJ/mol of formula units
**Symmetry**: I4mm


Please write out number 3 again, unchanged.
Pr2Sm3Dy6Tm: relaxed, GGA-PBE.

Cell lengths 6.2137, 6.2137, 11.8660 Å; angles 94.99, 94.99, 119.98 degrees
Closest atoms and distances in Å follow each position.
Positions (direct):
Dy  0.7517  0.7517  0.2508  3 Sm 3.57-3.58, 6 Dy 3.58-3.60, 1 Tm 3.58, 2 Pr 3.59
Dy  0.4159  0.0837  0.2504  6 Dy 3.58-3.60, 3 Sm 3.58, 1 Tm 3.58, 2 Pr 3.59
Sm  0.1667  0.8333  0.5000  6 Dy 3.57-3.58, 6 Sm 3.59
Dy  0.2483  0.2483  0.7492  3 Sm 3.57-3.58, 6 Dy 3.58-3.60, 1 Tm 3.58, 2 Pr 3.59
Dy  0.0837  0.4159  0.2504  6 Dy 3.58-3.60, 3 Sm 3.58, 1 Tm 3.58, 2 Pr 3.59
Sm  0.8333  0.1667  0.5000  6 Dy 3.57-3.58, 6 Sm 3.59
Sm  0.5000  0.5000  0.5000  6 Dy 3.58, 6 Sm 3.59
Pr  0.3336  0.6664  0.0000  3 Pr 3.58-3.59, 6 Dy 3.59, 3 Tm 3.59
Pr  0.6664  0.3336  0.0000  3 Pr 3.58-3.59, 6 Dy 3.59, 3 Tm 3.59
Tm  0.0000  0.0000  0.0000  6 Dy 3.58, 6 Pr 3.59
Dy  0.9163  0.5841  0.7496  6 Dy 3.58-3.60, 3 Sm 3.58, 1 Tm 3.58, 2 Pr 3.59
Dy  0.5841  0.9163  0.7496  6 Dy 3.58-3.60, 3 Sm 3.58, 1 Tm 3.58, 2 Pr 3.59

**Final energy**: -4.64 eV per atom
**Symmetry**: C2/m